(1)
Below is crystalline CaSb2Rh at its relaxed geometry, with properties calculated at the PBE level.

Calculated values
Formation energy (no corrections) in eV/atom: -0.386
Magnetization in μB/f.u.: 0.00
DFT total energy in eV/cell: -19.1

Cell lengths 3.3022, 3.3022, 9.0212 Å; angles 90.00, 90.00, 90.00 degrees
With the nearest neighbours (Å) after each atom.
Positions (direct):
Sb 0.0000 0.0000 0.9218  4 Rh 2.71
Sb 0.5000 0.5000 0.2695  4 Sb 3.30, 4 Ca 3.37
Ca 0.0000 0.0000 0.5394  4 Rh 3.12, 4 Ca 3.30, 5 Sb 3.37-3.45
Rh 0.5000 0.5000 0.7693  4 Sb 2.71

=====

(2)
Below is crystalline Ca3Sb3Rh2 at its relaxed geometry, with properties calculated at the PBE level.

Calculated values
Formation energy (no corrections) in eV/atom: -0.804
Relative energy among the computed polymorphs in eV/atom: 0.048
Magnetization in μB/f.u.: 0.00
DFT total energy in eV/cell: -158.0

Cell lengths 5.9908, 8.6404, 15.1778 Å; angles 90.00, 90.00, 90.00 degrees
With the nearest neighbours (Å) after each atom.
Positions (direct):
Ca 0.1196 0.4611 0.3890  3 Rh 3.21-3.48, 7 Sb 3.23-3.53
Ca 0.6196 0.0389 0.6110  3 Rh 3.21-3.48, 7 Sb 3.23-3.53
Ca 0.8804 0.5389 0.8890  3 Rh 3.21-3.48, 7 Sb 3.23-3.53
Ca 0.3804 0.9611 0.1110  3 Rh 3.21-3.48, 7 Sb 3.23-3.53
Ca 0.8804 0.5389 0.6110  3 Rh 3.21-3.48, 7 Sb 3.23-3.53
Ca 0.3804 0.9611 0.3890  3 Rh 3.21-3.48, 7 Sb 3.23-3.53
Ca 0.1196 0.4611 0.1110  3 Rh 3.21-3.48, 7 Sb 3.23-3.53
Ca 0.6196 0.0389 0.8890  3 Rh 3.21-3.48, 7 Sb 3.23-3.53
Ca 0.6204 0.3188 0.2500  5 Sb 3.17-3.35, 4 Rh 3.29-3.36
Ca 0.1204 0.1812 0.7500  5 Sb 3.17-3.35, 4 Rh 3.29-3.36
Ca 0.3796 0.6812 0.7500  5 Sb 3.17-3.35, 4 Rh 3.29-3.36
Ca 0.8796 0.8188 0.2500  5 Sb 3.17-3.35, 4 Rh 3.29-3.36
Sb 0.1040 0.1695 0.2500  2 Rh 2.71
Sb 0.6040 0.3305 0.7500  2 Rh 2.71
Sb 0.8960 0.8305 0.7500  2 Rh 2.71
Sb 0.3960 0.6695 0.2500  2 Rh 2.71
Sb 0.6205 0.3130 0.4605  3 Rh 2.61-2.70
Sb 0.1205 0.1870 0.5395  3 Rh 2.61-2.70
Sb 0.3795 0.6870 0.9605  3 Rh 2.61-2.70
Sb 0.8795 0.8130 0.0395  3 Rh 2.61-2.70
Sb 0.3795 0.6870 0.5395  3 Rh 2.61-2.70
Sb 0.8795 0.8130 0.4605  3 Rh 2.61-2.70
Sb 0.6205 0.3130 0.0395  3 Rh 2.61-2.70
Sb 0.1205 0.1870 0.9605  3 Rh 2.61-2.70
Rh 0.8791 0.0950 0.3991  4 Sb 2.61-2.71
Rh 0.3791 0.4050 0.6009  4 Sb 2.61-2.71
Rh 0.1209 0.9050 0.8991  4 Sb 2.61-2.71
Rh 0.6209 0.5950 0.1009  4 Sb 2.61-2.71
Rh 0.1209 0.9050 0.6009  4 Sb 2.61-2.71
Rh 0.6209 0.5950 0.3991  4 Sb 2.61-2.71
Rh 0.8791 0.0950 0.1009  4 Sb 2.61-2.71
Rh 0.3791 0.4050 0.8991  4 Sb 2.61-2.71

=====

(3)
Below is crystalline CaSbRh2 at its relaxed geometry, with properties calculated at the PBE level.

Calculated values
Formation energy (no corrections) in eV/atom: -0.416
Magnetization in μB/f.u.: 0.00
DFT total energy in eV/cell: -22.5

Cell lengths 5.2000, 5.2000, 4.5537 Å; angles 75.23, 75.23, 38.92 degrees
With the nearest neighbours (Å) after each atom.
Positions (direct):
Sb 0.4870 0.4870 0.5734  7 Rh 2.73-2.95
Ca 0.2516 0.2516 0.1994  7 Rh 2.76-2.90
Rh 0.9983 0.9983 0.0441  3 Ca 2.76-2.90, 4 Sb 2.78-2.95
Rh 0.7631 0.7631 0.6831  3 Sb 2.73-2.88, 4 Ca 2.83-2.90

=====

(4)
Below is crystalline CaSb2Rh at its relaxed geometry, with properties calculated at the PBE level.

Calculated values
Formation energy (no corrections) in eV/atom: -0.618
Magnetization in μB/f.u.: 0.00
DFT total energy in eV/cell: -20.1

Cell lengths 4.3956, 4.3956, 6.4491 Å; angles 73.52, 73.52, 55.90 degrees
With the nearest neighbours (Å) after each atom.
Positions (direct):
Sb 0.9765 0.9765 0.0718  3 Rh 2.71-2.72
Sb 0.5235 0.5235 0.4282  3 Rh 2.71-2.72
Ca 0.7500 0.7500 0.7500  6 Sb 3.12-3.20
Rh 0.2500 0.2500 0.2500  6 Sb 2.71-2.72

=====

(5)
Below is crystalline Ca2Sb5Rh3 at its relaxed geometry, with properties calculated at the PBE level.

Calculated values
Formation energy (no corrections) in eV/atom: -0.630
Magnetization in μB/f.u.: 0.00
DFT total energy in eV/cell: -105.9

Cell lengths 4.5045, 7.4002, 13.4498 Å; angles 90.00, 99.64, 90.00 degrees
With the nearest neighbours (Å) after each atom.
Positions (direct):
Ca 0.4760 0.7558 0.9520  3 Rh 2.87-3.18, 2 Sb 3.13
Ca 0.1713 0.7371 0.3425  8 Sb 3.19-3.54, 3 Rh 3.31-3.56
Ca 0.8287 0.2371 0.6575  8 Sb 3.19-3.54, 3 Rh 3.31-3.56
Ca 0.5240 0.2558 0.0480  3 Rh 2.87-3.18, 2 Sb 3.13
Sb 0.4041 0.3789 0.8083  3 Rh 2.60-2.70
Sb 0.2866 0.5072 0.5732  3 Rh 2.72-2.77
Sb 0.7134 0.0072 0.4268  3 Rh 2.72-2.77
Sb 0.1186 0.2636 0.2373  4 Rh 2.77-2.95
Sb 0.2979 0.9337 0.5958  4 Rh 2.66-2.86
Sb 0.9559 0.0917 0.9117  4 Rh 2.75-2.82
Sb 0.7021 0.4337 0.4042  4 Rh 2.66-2.86
Sb 0.8814 0.7636 0.7627  4 Rh 2.77-2.95
Sb 0.0441 0.5917 0.0883  4 Rh 2.75-2.82
Sb 0.5959 0.8789 0.1917  3 Rh 2.60-2.70
Rh 0.7773 0.7103 0.5546  7 Sb 2.72-2.86
Rh 0.6042 0.5154 0.2085  6 Sb 2.66-2.95, 1 Ca 2.87
Rh 0.0537 0.9709 0.1075  5 Sb 2.60-2.82
Rh 0.2227 0.2103 0.4454  7 Sb 2.72-2.86
Rh 0.9463 0.4709 0.8925  5 Sb 2.60-2.82
Rh 0.3958 0.0154 0.7915  6 Sb 2.66-2.95, 1 Ca 2.87

=====

(6)
Below is crystalline Ca2Si2SbRh5 at its relaxed geometry, with properties calculated at the PBE level.

Calculated values
Formation energy (no corrections) in eV/atom: -0.806
Magnetization in μB/f.u.: 0.00
DFT total energy in eV/cell: -127.6

Cell lengths 3.4225, 9.9547, 9.9547 Å; angles 90.00, 90.00, 90.00 degrees
With the nearest neighbours (Å) after each atom.
Positions (direct):
Ca 0.0000 0.6748 0.1748  3 Si 2.85-3.01, 10 Rh 3.00-3.17
Ca 0.0000 0.3252 0.8252  3 Si 2.85-3.01, 10 Rh 3.00-3.17
Ca 0.0000 0.1748 0.3252  3 Si 2.85-3.01, 10 Rh 3.00-3.17
Ca 0.0000 0.8252 0.6748  3 Si 2.85-3.01, 10 Rh 3.00-3.17
Si 0.0000 0.1228 0.6228  6 Rh 2.40-2.43
Si 0.0000 0.8772 0.3772  6 Rh 2.40-2.43
Si 0.0000 0.6228 0.8772  6 Rh 2.40-2.43
Si 0.0000 0.3772 0.1228  6 Rh 2.40-2.43
Sb 0.0000 0.0000 0.0000  8 Rh 2.84
Sb 0.0000 0.5000 0.5000  8 Rh 2.84
Rh 0.5000 0.2163 0.0702  2 Si 2.40
Rh 0.5000 0.7837 0.9298  2 Si 2.40
Rh 0.5000 0.0702 0.7837  2 Si 2.40
Rh 0.5000 0.7163 0.4298  2 Si 2.40
Rh 0.5000 0.9298 0.2163  2 Si 2.40
Rh 0.5000 0.2837 0.5702  2 Si 2.40
Rh 0.5000 0.5702 0.7163  2 Si 2.40
Rh 0.5000 0.4298 0.2837  2 Si 2.40
Rh 0.5000 0.5000 0.0000  4 Si 2.43
Rh 0.5000 0.0000 0.5000  4 Si 2.43

=====

(7)
Below is crystalline Ca2SnSb2Rh5 at its relaxed geometry, with properties calculated at the PBE level.

Calculated values
Formation energy (no corrections) in eV/atom: -0.519
Magnetization in μB/f.u.: 0.00
DFT total energy in eV/cell: -116.4

Cell lengths 3.7543, 10.1478, 10.1478 Å; angles 90.00, 90.00, 90.00 degrees
With the nearest neighbours (Å) after each atom.
Positions (direct):
Ca 0.0000 0.6711 0.1711  3 Sb 2.88-3.07, 2 Rh 3.09
Ca 0.0000 0.3289 0.8289  3 Sb 2.88-3.07, 2 Rh 3.09
Ca 0.0000 0.1711 0.3289  3 Sb 2.88-3.07, 2 Rh 3.09
Ca 0.0000 0.8289 0.6711  3 Sb 2.88-3.07, 2 Rh 3.09
Sn 0.0000 0.0000 0.0000  8 Rh 2.85
Sn 0.0000 0.5000 0.5000  8 Rh 2.85
Sb 0.0000 0.1281 0.6281  6 Rh 2.63, 1 Ca 2.88
Sb 0.0000 0.8719 0.3719  6 Rh 2.63, 1 Ca 2.88
Sb 0.0000 0.6281 0.8719  6 Rh 2.63, 1 Ca 2.88
Sb 0.0000 0.3719 0.1281  6 Rh 2.63, 1 Ca 2.88
Rh 0.5000 0.2013 0.0656  2 Sb 2.63, 2 Sn 2.85
Rh 0.5000 0.7987 0.9344  2 Sb 2.63, 2 Sn 2.85
Rh 0.5000 0.0656 0.7987  2 Sb 2.63, 2 Sn 2.85
Rh 0.5000 0.7013 0.4344  2 Sb 2.63, 2 Sn 2.85
Rh 0.5000 0.9344 0.2013  2 Sb 2.63, 2 Sn 2.85
Rh 0.5000 0.2987 0.5656  2 Sb 2.63, 2 Sn 2.85
Rh 0.5000 0.5656 0.7013  2 Sb 2.63, 2 Sn 2.85
Rh 0.5000 0.4344 0.2987  2 Sb 2.63, 2 Sn 2.85
Rh 0.5000 0.5000 0.0000  4 Sb 2.63
Rh 0.5000 0.0000 0.5000  4 Sb 2.63

=====

(8)
Below is crystalline Ca2TcSbRh at its relaxed geometry, with properties calculated at the PBE level.

Calculated values
Formation energy (no corrections) in eV/atom: 0.881
Relative energy among the computed polymorphs in eV/atom: 0.480
Magnetization in μB/f.u.: 2.22
DFT total energy in eV/cell: -21.4

Cell lengths 5.7113, 4.9031, 5.7113 Å; angles 90.00, 90.00, 90.00 degrees
With the nearest neighbours (Å) after each atom.
Positions (direct):
Sb 0.0000 0.0000 0.0000  2 Tc 2.45
Ca 0.0000 0.0000 0.5000  2 Sb 2.86
Ca 0.5000 0.0000 0.0000  2 Sb 2.86
Rh 0.5000 0.5000 0.5000  8 Ca 3.76, 4 Tc 4.04
Tc 0.0000 0.5000 0.0000  2 Sb 2.45